Below is a relaxed Sr2LiMgH crystal, with properties calculated at the GGA-PBE level.

Cell lengths 5.619, 5.619, 4.353 Å; angles 90.00, 90.00, 90.00 degrees
Element x y z (fractional)
Sr 0.000 0.500 0.000
Sr 0.500 0.000 0.000
Li 0.000 0.000 0.500
Mg 0.500 0.500 0.500
H 0.000 0.000 0.000

Results
calculated volume	27.49	Å³ per atom
E	-0.081	Ha/atom
ΔE to the lowest computed polymorph	0	meV per atom
spin magnetization	0.0	μB/f.u.